Entry 1:
Crystalline Zr7Bi2PdN2 at its relaxed geometry, computed with PBE.

**Formation energy (no corrections)**: -0.76 eV per atom
**Space group**: C2/m (12)

abc: 4.459 4.459 12.449
angles: 99.58 99.58 89.98
Sites, in units of the cell vectors:
1 Zr 0.000 0.000 0.000
2 Zr 0.081 0.582 0.182
3 Zr 0.162 0.162 0.376
4 Zr 0.418 0.919 0.818
5 Zr 0.582 0.081 0.182
6 Zr 0.838 0.838 0.624
7 Zr 0.919 0.418 0.818
8 Bi 0.336 0.336 0.628
9 Bi 0.664 0.664 0.372
10 Pd 0.500 0.500 0.000
11 N 0.086 0.086 0.187
12 N 0.914 0.914 0.813



Entry 2:
Crystalline Pm5Bi2N at its relaxed geometry, computed with PBE.

**Formation energy (no corrections)**: -0.64 eV per atom
**Space group**: Fmmm (69)

abc: 9.311 8.365 5.841
angles: 79.75 62.13 38.12
Sites, in units of the cell vectors:
1 Pm 0.000 0.000 0.000
2 Pm 0.227 0.547 0.453
3 Pm 0.453 0.773 0.227
4 Pm 0.547 0.227 0.773
5 Pm 0.773 0.453 0.547
6 Bi 0.196 0.196 0.804
7 Bi 0.804 0.804 0.196
8 N 0.500 0.500 0.500



Summary of uncorrected energy in eV per atom
-8.2086; -5.6230
(order as listed above)
Summary of M_tot in μB/atom
0.000; 0.000
(order as listed above)